Computed, not measured: an optimized crystal structure of Rb2CaBeP2 at the GGA-PBE level of DFT.

Values from the calculation:
final energy: -42.6 eV per cell

Geometry as POSCAR:
```
Rb2CaBeP2
1.0
-3.2893 7.6399 3.2736
3.2893 -7.6399 3.2736
3.2893 7.6399 -3.2736
Rb Ca Be P
4 2 2 4
Direct
0.1772 0.2246 0.4018
0.3228 0.7246 0.0474
0.6772 0.2754 0.9526
0.8228 0.7754 0.5982
0.2500 0.7500 0.5000
0.7500 0.2500 0.5000
0.2500 0.2500 0.0000
0.7500 0.7500 0.0000
0.0741 0.8023 0.8764
0.4259 0.3023 0.7282
0.5741 0.6977 0.2718
0.9259 0.1977 0.1236
```